{
  "formula": "RbHIr3",
  "functional": "GGA-PBEsol",
  "state": "relaxed",
  "cell": [[4.136, 0.000, 0.000], [0.000, 4.136, 0.000], [0.000, 0.000, 4.136]],
  "species": ["Rb", "H", "Ir", "Ir", "Ir"],
  "fractional_positions": [[0.000, 0.000, 0.000], [0.500, 0.500, 0.500], [0.000, 0.500, 0.500], [0.500, 0.000, 0.500], [0.500, 0.500, 0.000]],
  "energy_ev_per_atom": -5.5051
}